Below is crystalline Ga2SnSe at its relaxed geometry, with properties calculated at the PBE level.

Lattice parameters (Å, degrees): 5.0294 5.0294 5.0294 60.00 60.00 60.00
Atoms (fractional coordinates):
Sn  0.5000  0.5000  0.5000
Ga  0.7500  0.7500  0.7500
Se  0.0000  0.0000  0.0000
Ga  0.2500  0.2500  0.2500

Output
Offset from the most stable computed form = 0.301 eV per atom
SG = Fm-3m, No. 225
Magnetic moment = 0.00 μB/cell
Total energy = -3.3120 eV/atom

---

Below is crystalline USi2Ni10 at its relaxed geometry, with properties calculated at the PBE level.

Lattice parameters (Å, degrees): 6.1882 6.1882 6.1882 134.31 100.87 96.47
Last column: magnetic moment on the atom in μB.
Atoms (fractional coordinates):
U  0.0000  0.0000  0.0000  -0.94
Ni  0.6471  0.6471  0.0000  0.02
Ni  0.1812  0.5000  0.6812  0.06
Ni  0.5000  0.0000  0.0000  0.00
Ni  0.0000  0.5000  0.0000  0.00
Ni  0.3414  0.0000  0.3414  0.03
Ni  0.5000  0.5000  0.5000  0.00
Si  0.2501  0.7501  0.5000  0.00
Ni  0.3529  0.3529  0.0000  0.02
Si  0.7499  0.2499  0.5000  0.00
Ni  0.0000  0.0000  0.5000  0.00
Ni  0.6586  0.0000  0.6586  0.03
Ni  0.8188  0.5000  0.3188  0.06

Output
Offset from the most stable computed form = 0.000 eV per atom
SG = Immm, No. 71
Magnetic moment = 0.81 μB/cell
Total energy = -6.5024 eV/atom

---

One value per record, in order, for raw formation energy: 0.3; -4.6 eV per formula unit.